(1)
This record from Alexandria via LeMat-Bulk describes LaPm6Ho2Mg after structural relaxation. The functional is PBE.

abc: 8.6002 8.6002 9.5716
angles: 96.82 96.82 106.57
With the nearest neighbours (Å) after each atom.
Positions (direct):
La: 0.0655 0.9345 0.7500  2 Pm 3.26, 2 Ho 3.39
La: 0.9345 0.0655 0.2500  2 Pm 3.26, 2 Ho 3.39
Pm: 0.0319 0.4641 0.3302  1 La 3.26, 1 Mg 3.27, 3 Pm 3.37-3.55, 2 Ho 3.52-3.58
Pm: 0.0788 0.7342 0.0742  4 Pm 3.38-3.75, 1 Ho 3.45, 1 Mg 3.61, 2 La 3.72-3.73
Pm: 0.2658 0.9212 0.4258  4 Pm 3.38-3.75, 1 Ho 3.45, 1 Mg 3.61, 2 La 3.72-3.73
Pm: 0.3283 0.5641 0.9042  2 Mg 3.26-3.43, 3 Pm 3.35-3.53, 2 Ho 3.46-3.51
Pm: 0.4359 0.6717 0.5958  2 Mg 3.26-3.43, 3 Pm 3.35-3.53, 2 Ho 3.46-3.51
Pm: 0.4641 0.0319 0.8302  1 La 3.26, 1 Mg 3.27, 3 Pm 3.37-3.55, 2 Ho 3.52-3.58
Pm: 0.5359 0.9681 0.1698  1 La 3.26, 1 Mg 3.27, 3 Pm 3.37-3.55, 2 Ho 3.52-3.58
Pm: 0.5641 0.3283 0.4042  2 Mg 3.26-3.43, 3 Pm 3.35-3.53, 2 Ho 3.46-3.51
Pm: 0.6717 0.4359 0.0958  2 Mg 3.26-3.43, 3 Pm 3.35-3.53, 2 Ho 3.46-3.51
Pm: 0.7342 0.0788 0.5742  4 Pm 3.38-3.75, 1 Ho 3.45, 1 Mg 3.61, 2 La 3.72-3.73
Pm: 0.9212 0.2658 0.9258  4 Pm 3.38-3.75, 1 Ho 3.45, 1 Mg 3.61, 2 La 3.72-3.73
Pm: 0.9681 0.5359 0.6698  1 La 3.26, 1 Mg 3.27, 3 Pm 3.37-3.55, 2 Ho 3.52-3.58
Ho: 0.2030 0.2703 0.5936  1 Mg 3.36, 2 La 3.39-3.71, 6 Pm 3.45-3.72
Ho: 0.2703 0.2030 0.0936  1 Mg 3.36, 2 La 3.39-3.71, 6 Pm 3.45-3.72
Ho: 0.7297 0.7970 0.9064  1 Mg 3.36, 2 La 3.39-3.71, 6 Pm 3.45-3.72
Ho: 0.7970 0.7297 0.4064  1 Mg 3.36, 2 La 3.39-3.71, 6 Pm 3.45-3.72
Mg: 0.4009 0.5991 0.2500  8 Pm 3.26-3.61, 2 Ho 3.36
Mg: 0.5991 0.4009 0.7500  8 Pm 3.26-3.61, 2 Ho 3.36

## Properties
Mass density ... 6.807 g/cm3
SG ... C2/c, No. 15
Energy relative to the elements ... 1.05 eV/f.u.
Uncorrected energy ... -4.31 eV per atom

(2)
This record from Alexandria via LeMat-Bulk describes La5Pr2HoMg after structural relaxation. The functional is PBE.

abc: 10.5399 10.5399 11.0924
angles: 90.00 90.00 148.82
With the nearest neighbours (Å) after each atom.
Positions (direct):
La: 0.0004 0.9996 0.0000  2 Mg 3.38-3.39, 4 Pr 3.71-3.72, 2 La 3.72-3.74
La: 0.9996 0.0004 0.5000  2 Mg 3.38-3.39, 4 Pr 3.71-3.72, 2 La 3.72-3.74
La: 0.1230 0.8770 0.7507  4 Pr 3.68, 6 La 3.72-3.94, 1 Ho 3.73
La: 0.2127 0.7873 0.4509  1 Mg 3.26, 2 La 3.39, 3 Pr 3.45-3.59, 2 Ho 3.61
La: 0.2148 0.7852 0.0533  1 Mg 3.26, 2 La 3.39, 3 Pr 3.44-3.60, 2 Ho 3.61
La: 0.4882 0.5118 0.7508  2 Mg 3.30, 2 Pr 3.49-3.52, 1 Ho 3.69
La: 0.5118 0.4882 0.2508  2 Mg 3.30, 2 Pr 3.49-3.52, 1 Ho 3.69
La: 0.7852 0.2148 0.5533  1 Mg 3.26, 2 La 3.39, 3 Pr 3.44-3.60, 2 Ho 3.61
La: 0.7873 0.2127 0.9509  1 Mg 3.26, 2 La 3.39, 3 Pr 3.45-3.59, 2 Ho 3.61
La: 0.8770 0.1230 0.2507  4 Pr 3.68, 6 La 3.72-3.94, 1 Ho 3.73
Pr: 0.3826 0.6174 0.4620  9 La 3.45-3.85, 1 Ho 3.57
Pr: 0.3843 0.6157 0.0395  9 La 3.44-3.84, 1 Ho 3.56
Pr: 0.6157 0.3843 0.5395  9 La 3.44-3.84, 1 Ho 3.56
Pr: 0.6174 0.3826 0.9620  9 La 3.45-3.85, 1 Ho 3.57
Ho: 0.3067 0.6933 0.7519  2 Mg 3.46, 2 Pr 3.56-3.57, 8 La 3.61-3.84
Ho: 0.6933 0.3067 0.2519  2 Mg 3.46, 2 Pr 3.56-3.57, 8 La 3.61-3.84
Mg: 0.0955 0.9045 0.2499  6 La 3.26-3.39, 2 Ho 3.46
Mg: 0.9045 0.0955 0.7499  6 La 3.26-3.39, 2 Ho 3.46

## Properties
Mass density ... 6.068 g/cm3
SG ... Cmc2_1, No. 36
Energy relative to the elements ... 0.65 eV/f.u.
Uncorrected energy ... -4.41 eV per atom

(3)
This record from Alexandria via LeMat-Bulk describes La6PrHo2Mg after structural relaxation. The functional is PBE.

abc: 8.7351 8.7351 9.5234
angles: 95.97 95.97 104.77
With the nearest neighbours (Å) after each atom.
Positions (direct):
La: 0.0444 0.4651 0.6705  1 Pr 3.25, 1 Mg 3.33, 3 La 3.41-3.59, 2 Ho 3.56-3.63
La: 0.0604 0.8232 0.9014  2 Mg 3.29-3.42, 3 La 3.33-3.59, 2 Ho 3.55-3.67
La: 0.1768 0.9396 0.5986  2 Mg 3.29-3.42, 3 La 3.33-3.59, 2 Ho 3.55-3.67
La: 0.2393 0.5796 0.0809  4 La 3.43-3.84, 1 Ho 3.49, 1 Mg 3.66, 2 Pr 3.72-3.74
La: 0.4204 0.7607 0.4191  4 La 3.43-3.84, 1 Ho 3.49, 1 Mg 3.66, 2 Pr 3.72-3.74
La: 0.4651 0.0444 0.1705  1 Pr 3.25, 1 Mg 3.33, 3 La 3.41-3.59, 2 Ho 3.56-3.63
La: 0.5349 0.9556 0.8295  1 Pr 3.25, 1 Mg 3.33, 3 La 3.41-3.59, 2 Ho 3.56-3.63
La: 0.5796 0.2393 0.5809  4 La 3.43-3.84, 1 Ho 3.49, 1 Mg 3.66, 2 Pr 3.72-3.74
La: 0.7607 0.4204 0.9191  4 La 3.43-3.84, 1 Ho 3.49, 1 Mg 3.66, 2 Pr 3.72-3.74
La: 0.8232 0.0604 0.4014  2 Mg 3.29-3.42, 3 La 3.33-3.59, 2 Ho 3.55-3.67
La: 0.9396 0.1768 0.0986  2 Mg 3.29-3.42, 3 La 3.33-3.59, 2 Ho 3.55-3.67
La: 0.9556 0.5349 0.3295  1 Pr 3.25, 1 Mg 3.33, 3 La 3.41-3.59, 2 Ho 3.56-3.63
Pr: 0.4307 0.5693 0.7500  2 La 3.25, 2 Ho 3.39
Pr: 0.5693 0.4307 0.2500  2 La 3.25, 2 Ho 3.39
Ho: 0.2348 0.3001 0.4036  1 Pr 3.39, 1 Mg 3.47, 6 La 3.49-3.77
Ho: 0.3001 0.2348 0.9036  1 Pr 3.39, 1 Mg 3.47, 6 La 3.49-3.77
Ho: 0.6999 0.7652 0.0964  1 Pr 3.39, 1 Mg 3.47, 6 La 3.49-3.77
Ho: 0.7652 0.6999 0.5964  1 Pr 3.39, 1 Mg 3.47, 6 La 3.49-3.77
Mg: 0.0970 0.9030 0.2500  8 La 3.29-3.66, 2 Ho 3.47
Mg: 0.9030 0.0970 0.7500  8 La 3.29-3.66, 2 Ho 3.47

## Properties
Mass density ... 6.373 g/cm3
SG ... C2/c, No. 15
Energy relative to the elements ... 0.88 eV/f.u.
Uncorrected energy ... -4.42 eV per atom

(4)
This record from Alexandria via LeMat-Bulk describes LaPr6Ho2Mg after structural relaxation. The functional is PBE.

abc: 8.6914 8.6914 9.6264
angles: 96.56 96.56 106.07
With the nearest neighbours (Å) after each atom.
Positions (direct):
La: 0.0650 0.9350 0.7500  2 Pr 3.27, 2 Ho 3.40
La: 0.9350 0.0650 0.2500  2 Pr 3.27, 2 Ho 3.40
Pr: 0.0319 0.4598 0.3294  1 La 3.27, 1 Mg 3.31, 3 Pr 3.42-3.60, 2 Ho 3.59
Pr: 0.0805 0.7361 0.0750  4 Pr 3.43-3.81, 1 Ho 3.48, 1 Mg 3.64, 2 La 3.74-3.75
Pr: 0.2639 0.9195 0.4250  4 Pr 3.43-3.81, 1 Ho 3.48, 1 Mg 3.64, 2 La 3.74-3.75
Pr: 0.3288 0.5603 0.9039  2 Mg 3.28-3.43, 3 Pr 3.38-3.59, 2 Ho 3.53-3.54
Pr: 0.4397 0.6712 0.5961  2 Mg 3.28-3.43, 3 Pr 3.38-3.59, 2 Ho 3.53-3.54
Pr: 0.4598 0.0319 0.8294  1 La 3.27, 1 Mg 3.31, 3 Pr 3.42-3.60, 2 Ho 3.59
Pr: 0.5402 0.9681 0.1706  1 La 3.27, 1 Mg 3.31, 3 Pr 3.42-3.60, 2 Ho 3.59
Pr: 0.5603 0.3288 0.4039  2 Mg 3.28-3.43, 3 Pr 3.38-3.59, 2 Ho 3.53-3.54
Pr: 0.6712 0.4397 0.0961  2 Mg 3.28-3.43, 3 Pr 3.38-3.59, 2 Ho 3.53-3.54
Pr: 0.7361 0.0805 0.5750  4 Pr 3.43-3.81, 1 Ho 3.48, 1 Mg 3.64, 2 La 3.74-3.75
Pr: 0.9195 0.2639 0.9250  4 Pr 3.43-3.81, 1 Ho 3.48, 1 Mg 3.64, 2 La 3.74-3.75
Pr: 0.9681 0.5402 0.6706  1 La 3.27, 1 Mg 3.31, 3 Pr 3.42-3.60, 2 Ho 3.59
Ho: 0.2022 0.2688 0.5938  2 La 3.40-3.76, 1 Mg 3.42, 6 Pr 3.48-3.73
Ho: 0.2688 0.2022 0.0938  2 La 3.40-3.76, 1 Mg 3.42, 6 Pr 3.48-3.73
Ho: 0.7312 0.7978 0.9062  2 La 3.40-3.76, 1 Mg 3.42, 6 Pr 3.48-3.73
Ho: 0.7978 0.7312 0.4062  2 La 3.40-3.76, 1 Mg 3.42, 6 Pr 3.48-3.73
Mg: 0.4011 0.5989 0.2500  8 Pr 3.28-3.64, 2 Ho 3.42
Mg: 0.5989 0.4011 0.7500  8 Pr 3.28-3.64, 2 Ho 3.42

## Properties
Mass density ... 6.480 g/cm3
SG ... C2/c, No. 15
Energy relative to the elements ... 0.99 eV/f.u.
Uncorrected energy ... -4.34 eV per atom

(5)
This record from Alexandria via LeMat-Bulk describes LaHoPuMg after structural relaxation. The functional is PBE.

abc: 5.5345 5.5345 5.5345
angles: 60.00 60.00 60.00
With the nearest neighbours (Å) after each atom.
Positions (direct):
La: 0.0000 0.0000 0.0000  4 Mg 3.39, 4 Pu 3.39
Ho: 0.5000 0.5000 0.5000  4 Pu 3.39, 4 Mg 3.39
Pu: 0.7500 0.7500 0.7500  4 Ho 3.39, 4 La 3.39
Mg: 0.2500 0.2500 0.2500  4 Ho 3.39, 4 La 3.39

## Properties
Mass density ... 7.926 g/cm3
SG ... F-43m, No. 216
Energy relative to the elements ... 0.59 eV/f.u.
Uncorrected energy ... -6.21 eV per atom

(6)
This record from Alexandria via LeMat-Bulk describes LaHoMgRh after structural relaxation. The functional is PBE.

abc: 5.1728 5.1728 5.1728
angles: 60.00 60.00 60.00
With the nearest neighbours (Å) after each atom.
Positions (direct):
La: 0.0000 0.0000 0.0000  4 Mg 3.17, 4 Rh 3.17
Ho: 0.5000 0.5000 0.5000  4 Mg 3.17, 4 Rh 3.17
Mg: 0.7500 0.7500 0.7500  4 La 3.17, 4 Ho 3.17
Rh: 0.2500 0.2500 0.2500  4 La 3.17, 4 Ho 3.17

## Properties
Mass density ... 7.313 g/cm3
SG ... F-43m, No. 216
Energy relative to the elements ... -1.38 eV/f.u.
Uncorrected energy ... -4.96 eV per atom

(7)
This record from Alexandria via LeMat-Bulk describes LaHoMgRu after structural relaxation. The functional is PBE.

abc: 5.1359 5.1359 5.1359
angles: 60.00 60.00 60.00
With the nearest neighbours (Å) after each atom.
Positions (direct):
La: 0.0000 0.0000 0.0000  4 Ru 3.15, 4 Mg 3.15
Ho: 0.5000 0.5000 0.5000  4 Ru 3.15, 4 Mg 3.15
Mg: 0.2500 0.2500 0.2500  4 La 3.15, 4 Ho 3.15
Ru: 0.7500 0.7500 0.7500  4 La 3.15, 4 Ho 3.15

## Properties
Mass density ... 7.440 g/cm3
SG ... F-43m, No. 216
Energy relative to the elements ... -0.46 eV/f.u.
Uncorrected energy ... -5.21 eV per atom

(8)
This record from Alexandria via LeMat-Bulk describes La3Ho3MgS8 after structural relaxation. The functional is PBE.

abc: 8.0726 8.0726 8.0726
angles: 58.57 58.57 58.57
With the nearest neighbours (Å) after each atom.
Positions (direct):
La: 0.0000 0.5000 0.5000  6 S 2.91
La: 0.5000 0.0000 0.5000  6 S 2.91
La: 0.5000 0.5000 0.0000  6 S 2.91
Ho: 0.0000 0.0000 0.5000  6 S 2.74-2.75
Ho: 0.0000 0.5000 0.0000  6 S 2.74-2.75
Ho: 0.5000 0.0000 0.0000  6 S 2.74-2.75
Mg: 0.5000 0.5000 0.5000  6 S 2.68
S: 0.2430 0.2430 0.2430  3 Ho 2.74, 3 La 2.91
S: 0.2492 0.7375 0.7375  1 Mg 2.68, 2 Ho 2.75, 2 La 2.91
S: 0.2625 0.2625 0.7508  1 Mg 2.68, 2 Ho 2.75, 2 La 2.91
S: 0.2625 0.7508 0.2625  1 Mg 2.68, 2 Ho 2.75, 2 La 2.91
S: 0.7375 0.2492 0.7375  1 Mg 2.68, 2 Ho 2.75, 2 La 2.91
S: 0.7375 0.7375 0.2492  1 Mg 2.68, 2 Ho 2.75, 2 La 2.91
S: 0.7508 0.2625 0.2625  1 Mg 2.68, 2 Ho 2.75, 2 La 2.91
S: 0.7570 0.7570 0.7570  3 Ho 2.74, 3 La 2.91

## Properties
Formation energy (no corrections) ... -2.02 eV/atom
Mass density ... 5.503 g/cm3
SG ... R-3m, No. 166
Uncorrected energy ... -6.22 eV per atom

(9)
This record from Alexandria via LeMat-Bulk describes LaHoMgSc after structural relaxation. The functional is PBE.

abc: 5.4765 5.4765 5.4765
angles: 60.00 60.00 60.00
With the nearest neighbours (Å) after each atom.
Positions (direct):
La: 0.0000 0.0000 0.0000  4 Sc 3.35, 4 Mg 3.35
Ho: 0.5000 0.5000 0.5000  4 Sc 3.35, 4 Mg 3.35
Mg: 0.2500 0.2500 0.2500  4 Ho 3.35, 4 La 3.35
Sc: 0.7500 0.7500 0.7500  4 Ho 3.35, 4 La 3.35

## Properties
Mass density ... 5.334 g/cm3
SG ... F-43m, No. 216
Energy relative to the elements ... 0.09 eV/f.u.
Uncorrected energy ... -4.34 eV per atom

(10)
This record from Alexandria via LeMat-Bulk describes La2HoMgSe5 after structural relaxation. The functional is PBE.

abc: 9.0315 9.0315 12.7771
angles: 90.00 90.00 153.40
With the nearest neighbours (Å) after each atom.
Positions (direct):
La: 0.1111 0.8889 0.5000  8 Se 3.05-3.29
La: 0.1357 0.8643 0.1192  8 Se 3.08-3.40
La: 0.8643 0.1357 0.6192  8 Se 3.08-3.40
La: 0.8889 0.1111 0.0000  8 Se 3.05-3.29
Ho: 0.2057 0.7943 0.8256  6 Se 2.82-2.88
Ho: 0.7943 0.2057 0.3256  6 Se 2.82-2.88
Mg: 0.4643 0.5357 0.2713  3 Se 2.50-2.51
Mg: 0.5357 0.4643 0.7713  3 Se 2.50-2.51
Se: 0.0501 0.9499 0.8804  2 Mg 2.51
Se: 0.2842 0.7158 0.4798  2 Ho 2.87, 3 La 3.05-3.08
Se: 0.3156 0.6844 0.1725  2 Ho 2.88, 1 Mg 2.90
Se: 0.3657 0.6343 0.8140  1 Ho 2.82, 1 Mg 3.04
Se: 0.4926 0.5074 0.5850  1 Mg 2.50
Se: 0.5074 0.4926 0.0850  1 Mg 2.50
Se: 0.6343 0.3657 0.3140  1 Ho 2.82, 1 Mg 3.04
Se: 0.6844 0.3156 0.6725  2 Ho 2.88, 1 Mg 2.90
Se: 0.7158 0.2842 0.9798  2 Ho 2.87, 3 La 3.05-3.08
Se: 0.9499 0.0501 0.3804  2 Mg 2.51

## Properties
Formation energy (no corrections) ... -1.79 eV/atom
Mass density ... 6.134 g/cm3
SG ... Cmc2_1, No. 36
Uncorrected energy ... -5.51 eV per atom